Entry 1:
# Dy5Co2Ru

A relaxed structure of Dy5Co2Ru (GGA-PBE, Alexandria).

The space group is I4/mcm (No. 140) and the conventional cell measures 7.1144, 7.1144 and 14.1353 Å, with angles of 90.00, 90.00 and 90.00 degrees. The inequivalent atoms are Dy at (0.0000, 0.0000, 0.0000), Dy at (0.1786, 0.3214, 0.1422), Co at (0.1120, 0.3880, 0.5000) and Ru at (0.0000, 0.0000, 0.2500).

The value obtained for the formation energy is -0.268 eV/atom. Its volume is 22.358 Å³/atom. The value obtained for the density is 9.576 g/cm³.


Entry 2:
# Pm6HoEr6

A relaxed structure of Pm6HoEr6 (GGA-PBE, Alexandria).

The space group is P2/m (No. 10) and the conventional cell measures 6.5693, 11.0801 and 6.6095 Å, with angles of 90.00, 115.14 and 90.00 degrees. The inequivalent atoms are Pm at (0.0000, 0.1725, 0.0000), Pm at (0.2709, 0.0000, 0.7442), Pm at (0.3268, 0.5000, 0.6080), Ho at (0.0000, 0.5000, 0.0000), Er at (0.0000, 0.2663, 0.5000), Er at (0.5000, 0.1972, 0.5000) and Er at (0.5000, 0.2866, 0.0000).

The value obtained for the formation energy is 0.221 eV/atom. Its volume is 33.500 Å³/atom. The value obtained for the density is 7.773 g/cm³.


Entry 3:
# KCu

A relaxed structure of KCu (GGA-PBE, Alexandria).

The space group is Fddd (No. 70, origin choice 2) and the conventional cell measures 6.0421, 9.5830 and 16.1106 Å, with angles of 90.00, 90.00 and 90.00 degrees. The inequivalent atoms are K at (0.1250, 0.2949, 0.1250) and Cu at (0.1250, 0.1250, 0.5497).

The value obtained for the formation energy is 0.431 eV/atom. Its volume is 29.151 Å³/atom. Its energy above the most stable polymorph in this dataset is 188 meV/atom. The value obtained for the density is 2.924 g/cm³.